Material: LiHoVF6
Method: DFT, GGA+U
State: optimized geometry

Its total energy is -110.84 eV/cell. The value obtained for the density of states at the Fermi level is 0.00 states/eV per cell. The magnetic moment is 6.00 μB per cell. The density comes out at 4.6 g/cm³.

Lattice parameters (Å, degrees): 4.973 4.973 9.875 90.00 90.00 90.00
Space group P4_2nm (No. 102)
Asymmetric unit:
1 Li 0.000 0.000 0.000 [2 per cell]
2 Ho 0.000 0.000 0.335 [2 per cell]
3 V 0.000 0.000 0.669 [2 per cell]
4 F 0.190 0.190 0.836 [4 per cell]
5 F 0.199 0.199 0.166 [4 per cell]
6 F 0.200 0.200 0.505 [4 per cell]